The following is a GGA-PBE calculation of a geometry-optimized KSr2Os structure, from Alexandria. Values from VASP.

Quantum ESPRESSO input file:
```
&SYSTEM
  ibrav = 0, nat = 4, ntyp = 3
/
ATOMIC_SPECIES
K 39.10 K.upf
Sr 87.62 Sr.upf
Os 190.23 Os.upf
CELL_PARAMETERS angstrom
2.2279 1.2863 10.5392
-2.2279 1.2863 10.5392
0.0000 -2.5725 10.5392
ATOMIC_POSITIONS crystal
K 0.0000 0.0000 0.0000
Sr 0.2155 0.2155 0.2155
Sr 0.7845 0.7845 0.7845
Os 0.5000 0.5000 0.5000
```

Summary:
V, Å³/atom: 45.301
DFT formation energy, eV per atom: 0.686